Computed, not measured: crystalline Rb3Ir at its relaxed geometry at the PBE-GGA level of DFT.

Its energy relative to the elements is 786.0 meV/atom. The density of states at the Fermi level comes out at 16.368 states/eV/cell. The crystal system is hexagonal. As for the volume: 41.140 Å³ per atom.

It has space group P6_3/mmc (No. 194), with a = 8.3837 Å, b = 8.3837 Å, c = 5.4070 Å, α = 90.00°, β = 90.00° and γ = 120.00°. The distinct sites, in fractional coordinates, are Rb at (0.1905, 0.3811, 0.2500) and Ir at (0.3333, 0.6667, 0.7500).

Computed, not measured: crystalline RbIr4 at its relaxed geometry at the PBE-GGA level of DFT.

Its energy relative to the elements is 3696.2 meV/atom. The density of states at the Fermi level comes out at 8.872 states/eV/cell. The crystal system is cubic. As for the volume: 21.075 Å³ per atom.

It has space group Pm-3m (No. 221), with a = 4.723 Å, b = 4.723 Å, c = 4.723 Å, α = 90.00°, β = 90.00° and γ = 90.00°. The distinct sites, in fractional coordinates, are Rb at (0.000, 0.000, 0.000), Ir at (0.000, 0.000, 0.500) and Ir at (0.500, 0.500, 0.500).

Computed, not measured: crystalline RbReIr3 at its relaxed geometry at the PBE-GGA level of DFT.

The calculation puts the energy above the most stable polymorph in this dataset at 2.534 eV/atom. Its energy relative to the elements is 3882.8 meV/atom. The density of states at the Fermi level comes out at 11.115 states/eV/cell. The crystal system is cubic. As for the volume: 20.481 Å³ per atom.

It has space group Pm-3m (No. 221), with a = 4.679 Å, b = 4.679 Å, c = 4.679 Å, α = 90.00°, β = 90.00° and γ = 90.00°. The distinct sites, in fractional coordinates, are Rb at (0.000, 0.000, 0.000), Re at (0.500, 0.500, 0.500) and Ir at (0.000, 0.000, 0.500).